A relaxed structure of Ca5GeP8, computed with PBE.

Properties
DFT total energy	-4.784	eV/atom
energy of formation	-0.648	eV per atom
SG	No. 82

Cell lengths 7.6460, 7.6460, 7.6460 Å; angles 103.24, 103.24, 122.81 degrees
Element x y z (fractional)
Ca: 0.0000 0.0000 0.0000
Ca: 0.1855 0.5619 0.0776
Ca: 0.4381 0.5157 0.6235
Ca: 0.4843 0.1078 0.9224
Ca: 0.8922 0.8145 0.3765
Ge: 0.7500 0.2500 0.5000
P: 0.1361 0.2116 0.7521
P: 0.3668 0.1074 0.3450
P: 0.4595 0.3840 0.2479
P: 0.6160 0.8639 0.0755
P: 0.7624 0.0218 0.6550
P: 0.7884 0.5405 0.9245
P: 0.8926 0.2376 0.2593
P: 0.9782 0.6332 0.7407


A relaxed structure of Pu5ZnTc4, computed with PBE.

Properties
DFT total energy	-11.402	eV/atom
energy of formation	0.038	eV per atom
SG	No. 123

Cell lengths 3.2985, 3.2985, 18.2803 Å; angles 90.00, 90.00, 90.00 degrees
Element x y z (fractional)
Pu: 0.0000 0.0000 0.0000
Pu: 0.0000 0.0000 0.1914
Pu: 0.0000 0.0000 0.3835
Pu: 0.0000 0.0000 0.6165
Pu: 0.0000 0.0000 0.8086
Zn: 0.5000 0.5000 0.5000
Tc: 0.5000 0.5000 0.0956
Tc: 0.5000 0.5000 0.2871
Tc: 0.5000 0.5000 0.7129
Tc: 0.5000 0.5000 0.9044


A relaxed structure of Pu3SbS3, computed with PBE.

Properties
DFT total energy	-9.801	eV/atom
raw formation energy	-1.301	eV/atom
SG	No. 148

Cell lengths 8.5257, 8.5257, 8.5257 Å; angles 55.34, 55.34, 55.34 degrees
Element x y z (fractional)
Pu: 0.0246 0.4174 0.7776
Pu: 0.2224 0.9754 0.5826
Pu: 0.4174 0.7776 0.0246
Pu: 0.5826 0.2224 0.9754
Pu: 0.7776 0.0246 0.4174
Pu: 0.9754 0.5826 0.2224
Sb: 0.1653 0.1653 0.1653
Sb: 0.8347 0.8347 0.8347
S: 0.1089 0.6762 0.3730
S: 0.3238 0.6270 0.8911
S: 0.3730 0.1089 0.6762
S: 0.6270 0.8911 0.3238
S: 0.6762 0.3730 0.1089
S: 0.8911 0.3238 0.6270


A relaxed structure of TaSi3B, computed with PBE.

Properties
DFT total energy	-5.422	eV/atom
raw formation energy	1.537	eV/atom
SG	No. 221

Cell lengths 4.8781, 4.8781, 4.8781 Å; angles 90.00, 90.00, 90.00 degrees
Element x y z (fractional)
Ta: 0.0000 0.0000 0.0000
Si: 0.0000 0.0000 0.5000
Si: 0.0000 0.5000 0.0000
Si: 0.5000 0.0000 0.0000
B: 0.5000 0.5000 0.5000


A relaxed structure of ZnIr4Rh5, computed with PBE.

Properties
DFT total energy	-7.410	eV/atom
energy of formation	-0.063	eV per atom
SG	No. 123

Cell lengths 2.7339, 2.7339, 19.0967 Å; angles 90.00, 90.00, 90.00 degrees
Element x y z (fractional)
Zn: 0.0000 0.0000 0.0000
Ir: 0.0000 0.0000 0.1970
Ir: 0.0000 0.0000 0.3994
Ir: 0.0000 0.0000 0.6006
Ir: 0.0000 0.0000 0.8030
Rh: 0.5000 0.5000 0.0991
Rh: 0.5000 0.5000 0.2983
Rh: 0.5000 0.5000 0.5000
Rh: 0.5000 0.5000 0.7017
Rh: 0.5000 0.5000 0.9009


A relaxed structure of Ac2MgBe3Ge4, computed with PBE.

Properties
DFT total energy	-4.289	eV/atom
energy of formation	-0.343	eV per atom
SG	No. 115

Cell lengths 4.4043, 4.4043, 10.0446 Å; angles 90.00, 90.00, 90.00 degrees
Element x y z (fractional)
Ac: 0.0000 0.5000 0.2368
Ac: 0.5000 0.0000 0.7632
Mg: 0.0000 0.0000 0.5000
Be: 0.0000 0.5000 0.8865
Be: 0.5000 0.0000 0.1135
Be: 0.5000 0.5000 0.5000
Ge: 0.0000 0.0000 0.0000
Ge: 0.0000 0.5000 0.6455
Ge: 0.5000 0.0000 0.3545
Ge: 0.5000 0.5000 0.0000